(1)
# Ta2CrAs2, optimized geometry, DFT PBE
# **DFT formation energy**: -0.025 eV/atom
# **E_tot**: -8.550 eV/atom
data_Ta2CrAs2
_cell_length_a 6.694
_cell_length_b 6.694
_cell_length_c 3.573
_cell_angle_alpha 90.00
_cell_angle_beta 90.00
_cell_angle_gamma 90.00
_space_group_name_H-M_alt 'P 4/m b m'
_space_group_IT_number 127
_space_group_name_Hall '-P 4 2ab'
loop_
_atom_site_label
_atom_site_type_symbol
_atom_site_fract_x
_atom_site_fract_y
_atom_site_fract_z
_atom_site_occupancy
Ta1 Ta 0.152 0.348 0.000 1
Cr1 Cr 0.000 0.000 0.500 1
As1 As 0.152 0.652 0.500 1

(2)
# Pu2H2Pt, optimized geometry, DFT PBE
# **E_tot**: -8.776 eV/atom
# **Relative energy among the computed polymorphs**: 0.0 kJ per mole of atoms
data_Pu2H2Pt
_cell_length_a 3.567
_cell_length_b 3.567
_cell_length_c 12.473
_cell_angle_alpha 90.00
_cell_angle_beta 90.00
_cell_angle_gamma 90.00
_space_group_name_H-M_alt 'I 4/m m m'
_space_group_IT_number 139
_space_group_name_Hall '-I 4 2'
loop_
_atom_site_label
_atom_site_type_symbol
_atom_site_fract_x
_atom_site_fract_y
_atom_site_fract_z
_atom_site_occupancy
Pu1 Pu 0.000 0.000 0.137 1
H1 H 0.000 0.500 0.250 1
Pt1 Pt 0.000 0.000 0.500 1

(3)
# KCrMo2, optimized geometry, DFT PBE
# **DFT formation energy**: 1.592 eV/atom
# **E_tot**: -6.503 eV/atom
# **Relative energy among the computed polymorphs**: 75.7 kJ per mole of atoms
data_KCrMo2
_cell_length_a 3.836
_cell_length_b 3.836
_cell_length_c 10.230
_cell_angle_alpha 90.00
_cell_angle_beta 90.00
_cell_angle_gamma 90.00
_space_group_name_H-M_alt 'I 4/m m m'
_space_group_IT_number 139
_space_group_name_Hall '-I 4 2'
loop_
_atom_site_label
_atom_site_type_symbol
_atom_site_fract_x
_atom_site_fract_y
_atom_site_fract_z
_atom_site_occupancy
K1 K 0.000 0.000 0.000 1
Cr1 Cr 0.000 0.000 0.500 1
Mo1 Mo 0.000 0.500 0.250 1

(4)
# CuHgSe2, optimized geometry, DFT PBE
# **E_tot**: -2.832 eV/atom
# **Uncorrected formation energy**: 0.04 eV/f.u.
data_CuHgSe2
_cell_length_a 3.607
_cell_length_b 3.607
_cell_length_c 6.890
_cell_angle_alpha 90.00
_cell_angle_beta 90.00
_cell_angle_gamma 90.00
_space_group_name_H-M_alt 'P 4 m m'
_space_group_IT_number 99
loop_
_space_group_symop_operation_xyz
'x,y,z'
'-y,x,z'
'-x,-y,z'
'y,-x,z'
'-x,y,z'
'y,x,z'
'x,-y,z'
'-y,-x,z'
loop_
_atom_site_label
_atom_site_type_symbol
_atom_site_fract_x
_atom_site_fract_y
_atom_site_fract_z
_atom_site_occupancy
Cu1 Cu 0.000 0.000 0.000 1
Hg1 Hg 0.500 0.500 0.466 1
Se1 Se 0.000 0.000 0.643 1
Se2 Se 0.500 0.500 0.080 1

(5)
# OsBr2Cl, optimized geometry, DFT PBE
# **E_tot**: -3.444 eV/atom
# **Relative energy among the computed polymorphs**: 63.4 kJ per mole of atoms
# **Uncorrected formation energy**: 2.65 eV/f.u.
data_OsBr2Cl
_cell_length_a 3.071
_cell_length_b 6.056
_cell_length_c 10.071
_cell_angle_alpha 90.00
_cell_angle_beta 90.00
_cell_angle_gamma 90.00
_space_group_name_H-M_alt 'C m m m'
_space_group_IT_number 65
_space_group_name_Hall '-C 2 2'
loop_
_atom_site_label
_atom_site_type_symbol
_atom_site_fract_x
_atom_site_fract_y
_atom_site_fract_z
_atom_site_occupancy
Os1 Os 0.000 0.000 0.000 1
Br1 Br 0.000 0.500 0.196 1
Cl1 Cl 0.000 0.000 0.500 1

(6)
# CoRh, optimized geometry, DFT PBE
# **DFT formation energy**: 0.066 eV/atom
# **E_tot**: -7.163 eV/atom
data_CoRh
_cell_length_a 2.664
_cell_length_b 2.664
_cell_length_c 10.753
_cell_angle_alpha 90.00
_cell_angle_beta 90.00
_cell_angle_gamma 90.00
_space_group_name_H-M_alt 'P 4 m m'
_space_group_IT_number 99
loop_
_space_group_symop_operation_xyz
'x,y,z'
'-y,x,z'
'-x,-y,z'
'y,-x,z'
'-x,y,z'
'y,x,z'
'x,-y,z'
'-y,-x,z'
loop_
_atom_site_label
_atom_site_type_symbol
_atom_site_fract_x
_atom_site_fract_y
_atom_site_fract_z
_atom_site_occupancy
Co1 Co 0.000 0.000 0.000 1
Co2 Co 0.000 0.000 0.336 1
Co3 Co 0.500 0.500 0.483 1
Rh1 Rh 0.000 0.000 0.651 1
Rh2 Rh 0.500 0.500 0.167 1
Rh3 Rh 0.500 0.500 0.834 1